# Tb2Sm12Sc, relaxed, DFT PBE
data_Tb2Sm12Sc
_chemical_formula_sum 'Tb8 Sm48 Sc4'
_symmetry_space_group_name_H-M 'C m m e'
_symmetry_Int_Tables_number 67
_symmetry_space_group_name_Hall '-C 2a 2'
_cell_length_a 7.1540
_cell_length_b 11.4546
_cell_length_c 24.6459
_cell_angle_alpha 90.00
_cell_angle_beta 90.00
_cell_angle_gamma 90.00
loop_
_atom_site_label
_atom_site_fract_x
_atom_site_fract_y
_atom_site_fract_z
Tb1 0.0000 0.2500 0.2315
Tb2 0.0000 0.2500 0.7636
Sm1 0.0000 0.0010 0.5725
Sm2 0.0000 0.0231 0.0606
Sm3 0.2316 0.2500 0.9142
Sm4 0.2489 0.2500 0.3759
Sm5 0.2500 0.0000 0.1759
Sm6 0.2500 0.0000 0.3033
Sc1 0.0000 0.2500 0.4997
# Formation enthalpy at 0 K = 16.12 kJ/mol of atoms


# Tb4Sm6Sc, relaxed, DFT PBE
data_Tb4Sm6Sc
_chemical_formula_sum 'Tb8 Sm12 Sc2'
_symmetry_space_group_name_H-M 'I -4 2 m'
_symmetry_Int_Tables_number 121
_symmetry_space_group_name_Hall 'I -4 2'
_cell_length_a 8.0340
_cell_length_b 8.0340
_cell_length_c 12.1515
_cell_angle_alpha 90.00
_cell_angle_beta 90.00
_cell_angle_gamma 90.00
loop_
_atom_site_label
_atom_site_fract_x
_atom_site_fract_y
_atom_site_fract_z
Tb1 0.1700 0.1700 0.4353
Sm1 0.0000 0.5000 0.0000
Sm2 0.1883 0.1883 0.7170
Sc1 0.0000 0.0000 0.0000
# Formation enthalpy at 0 K = 47.89 kJ/mol of atoms


# Tb3Sm3Sc5, relaxed, DFT PBE
data_Tb3Sm3Sc5
_chemical_formula_sum 'Tb3 Sm3 Sc5'
_symmetry_space_group_name_H-M 'P -6 2 m'
_symmetry_Int_Tables_number 189
_symmetry_space_group_name_Hall 'P -6 -2'
_cell_length_a 9.0362
_cell_length_b 9.0362
_cell_length_c 5.4305
_cell_angle_alpha 90.00
_cell_angle_beta 90.00
_cell_angle_gamma 120.00
loop_
_atom_site_label
_atom_site_fract_x
_atom_site_fract_y
_atom_site_fract_z
Tb1 0.0000 0.3806 0.0000
Sm1 0.0000 0.6180 0.5000
Sc1 0.0000 0.2411 0.5000
Sc2 0.3333 0.6667 0.5000
# Formation enthalpy at 0 K = 77.61 kJ/mol of atoms


# TbSmSc, relaxed, DFT PBE
data_TbSmSc
_chemical_formula_sum 'Tb2 Sm2 Sc2'
_symmetry_space_group_name_H-M 'P m m a'
_symmetry_Int_Tables_number 51
_cell_length_a 6.1515
_cell_length_b 3.5047
_cell_length_c 8.5502
_cell_angle_alpha 90.00
_cell_angle_beta 90.00
_cell_angle_gamma 90.00
loop_
_symmetry_equiv_pos_as_xyz
'x,y,z'
'-x,-y,-z'
'-x+1/2,-y,z'
'x+1/2,y,-z'
'x+1/2,-y,-z'
'-x+1/2,y,z'
'-x,y,-z'
'x,-y,z'
loop_
_atom_site_label
_atom_site_fract_x
_atom_site_fract_y
_atom_site_fract_z
Tb1 0.2500 0.0000 0.1246
Sm1 0.0000 0.0000 0.5000
Sc1 0.2500 0.5000 0.7957
# Formation enthalpy at 0 K = 17.40 kJ/mol of atoms


# Tb11Sm4Sc9, relaxed, DFT PBE
data_Tb11Sm4Sc9
_chemical_formula_sum 'Tb22 Sm8 Sc18'
_symmetry_space_group_name_H-M 'C m m m'
_symmetry_Int_Tables_number 65
_symmetry_space_group_name_Hall '-C 2 2'
_cell_length_a 15.8967
_cell_length_b 25.4508
_cell_length_c 3.5098
_cell_angle_alpha 90.00
_cell_angle_beta 90.00
_cell_angle_gamma 90.00
loop_
_atom_site_label
_atom_site_fract_x
_atom_site_fract_y
_atom_site_fract_z
Tb1 0.0000 0.0000 0.0000
Tb2 0.0000 0.1877 0.0000
Tb3 0.0000 0.3755 0.0000
Tb4 0.2073 0.0000 0.0000
Tb5 0.2198 0.1859 0.0000
Sm1 0.1712 0.4121 0.5000
Sc1 0.0000 0.5000 0.5000
Sc2 0.1048 0.2810 0.5000
Sc3 0.1082 0.0941 0.5000
# Formation enthalpy at 0 K = 7.45 kJ/mol of atoms


# TbSmSc5, relaxed, DFT PBE
data_TbSmSc5
_chemical_formula_sum 'Tb1 Sm1 Sc5'
_symmetry_space_group_name_H-M 'P 4/m m m'
_symmetry_Int_Tables_number 123
_symmetry_space_group_name_Hall '-P 4 2'
_cell_length_a 5.1657
_cell_length_b 5.1657
_cell_length_c 7.5021
_cell_angle_alpha 90.00
_cell_angle_beta 90.00
_cell_angle_gamma 90.00
loop_
_atom_site_label
_atom_site_fract_x
_atom_site_fract_y
_atom_site_fract_z
Tb1 0.0000 0.0000 0.0000
Sm1 0.5000 0.5000 0.5000
Sc1 0.0000 0.0000 0.5000
Sc2 0.0000 0.5000 0.2258
# Formation enthalpy at 0 K = 35.89 kJ/mol of atoms


# Tb12SmSc5, relaxed, DFT PBE
data_Tb12SmSc5
_chemical_formula_sum 'Tb24 Sm2 Sc10'
_symmetry_space_group_name_H-M 'C 1 2/m 1'
_symmetry_Int_Tables_number 12
_cell_length_a 6.0571
_cell_length_b 10.4904
_cell_length_c 17.0004
_cell_angle_alpha 90.00
_cell_angle_beta 96.81
_cell_angle_gamma 90.00
loop_
_symmetry_equiv_pos_as_xyz
'x,y,z'
'-x,-y,-z'
'-x,y,-z'
'x,-y,z'
'x+1/2,y+1/2,z'
'-x+1/2,-y+1/2,-z'
'-x+1/2,y+1/2,-z'
'x+1/2,-y+1/2,z'
loop_
_atom_site_label
_atom_site_fract_x
_atom_site_fract_y
_atom_site_fract_z
Tb1 0.1137 0.0000 0.3389
Tb2 0.1138 0.3333 0.3393
Tb3 0.2186 0.5000 0.1660
Tb4 0.2246 0.1687 0.1659
Sm1 0.0000 0.0000 0.0000
Sc1 0.0000 0.1661 0.5000
Sc2 0.0000 0.3333 0.0000
Sc3 0.0000 0.5000 0.5000
# Formation enthalpy at 0 K = 3.45 kJ/mol of atoms


# Tb3SmSc6, relaxed, DFT PBE
data_Tb3SmSc6
_chemical_formula_sum 'Tb12 Sm4 Sc24'
_symmetry_space_group_name_H-M 'C m c 21'
_symmetry_Int_Tables_number 36
_cell_length_a 10.5012
_cell_length_b 17.9285
_cell_length_c 5.8891
_cell_angle_alpha 90.00
_cell_angle_beta 90.00
_cell_angle_gamma 90.00
loop_
_symmetry_equiv_pos_as_xyz
'x,y,z'
'-x,-y,z+1/2'
'-x,y,z'
'x,-y,z+1/2'
'x+1/2,y+1/2,z'
'-x+1/2,-y+1/2,z+1/2'
'-x+1/2,y+1/2,z'
'x+1/2,-y+1/2,z+1/2'
loop_
_atom_site_label
_atom_site_fract_x
_atom_site_fract_y
_atom_site_fract_z
Tb1 0.0000 0.1002 0.0000
Tb2 0.1783 0.3959 0.4047
Sm1 0.0000 0.2853 0.1128
Sc1 0.0000 0.2035 0.5674
Sc2 0.0000 0.4496 0.8685
Sc3 0.1718 0.0550 0.4468
Sc4 0.2341 0.2831 0.7958
# Formation enthalpy at 0 K = 15.25 kJ/mol of atoms


# Tb3SmSc2, relaxed, DFT PBE
data_Tb3SmSc2
_chemical_formula_sum 'Tb12 Sm4 Sc8'
_symmetry_space_group_name_H-M 'C m c m'
_symmetry_Int_Tables_number 63
_symmetry_space_group_name_Hall '-C 2c 2'
_cell_length_a 14.3149
_cell_length_b 9.7283
_cell_length_c 5.4624
_cell_angle_alpha 90.00
_cell_angle_beta 90.00
_cell_angle_gamma 90.00
loop_
_atom_site_label
_atom_site_fract_x
_atom_site_fract_y
_atom_site_fract_z
Tb1 0.0000 0.0950 0.2500
Tb2 0.2399 0.1305 0.2500
Sm1 0.0000 0.2707 0.7500
Sc1 0.1061 0.4082 0.2500
# Formation enthalpy at 0 K = 28.08 kJ/mol of atoms


# Tb3Sm7Sc, relaxed, DFT PBE
data_Tb3Sm7Sc
_chemical_formula_sum 'Tb6 Sm14 Sc2'
_symmetry_space_group_name_H-M 'P 1'
_symmetry_Int_Tables_number 1
_cell_length_a 6.1707
_cell_length_b 9.6498
_cell_length_c 12.4185
_cell_angle_alpha 93.66
_cell_angle_beta 92.31
_cell_angle_gamma 103.10
loop_
_symmetry_equiv_pos_as_xyz
'x,y,z'
loop_
_atom_site_label
_atom_site_fract_x
_atom_site_fract_y
_atom_site_fract_z
Tb1 0.0000 0.0000 0.0000
Tb2 0.0661 0.5361 0.3102
Tb3 0.2189 0.5479 0.8117
Tb4 0.4592 0.2814 0.9023
Tb5 0.6319 0.2716 0.4047
Tb6 0.8847 0.9936 0.4893
Sm1 0.0953 0.1829 0.2686
Sm2 0.1544 0.7154 0.5795
Sm3 0.1662 0.3578 0.5462
Sm4 0.2766 0.7208 0.0926
Sm5 0.3484 0.9051 0.3586
Sm6 0.4148 0.0828 0.6292
Sm7 0.4321 0.9193 0.8743
Sm8 0.5489 0.0963 0.1335
Sm9 0.6083 0.6226 0.4490
Sm10 0.7307 0.7931 0.7112
Sm11 0.7444 0.6342 0.9548
Sm12 0.8071 0.8088 0.2229
Sm13 0.9298 0.1735 0.7680
Sm14 0.9932 0.3623 0.0393
Sc1 0.5280 0.4512 0.1765
Sc2 0.6976 0.4397 0.6777
# Formation enthalpy at 0 K = 5.09 kJ/mol of atoms


# TbSmSc, relaxed, DFT PBE
data_TbSmSc
_chemical_formula_sum 'Tb2 Sm2 Sc2'
_symmetry_space_group_name_H-M 'I 4 m m'
_symmetry_Int_Tables_number 107
_symmetry_space_group_name_Hall 'I 4 -2'
_cell_length_a 3.5092
_cell_length_b 3.5092
_cell_length_c 14.6028
_cell_angle_alpha 90.00
_cell_angle_beta 90.00
_cell_angle_gamma 90.00
loop_
_atom_site_label
_atom_site_fract_x
_atom_site_fract_y
_atom_site_fract_z
Tb1 0.0000 0.0000 0.0000
Sm1 0.0000 0.0000 0.3223
Sc1 0.0000 0.0000 0.6599
# Formation enthalpy at 0 K = 4.75 kJ/mol of atoms


# Tb6SmSc4, relaxed, DFT PBE
data_Tb6SmSc4
_chemical_formula_sum 'Tb12 Sm2 Sc8'
_symmetry_space_group_name_H-M 'I -4 2 m'
_symmetry_Int_Tables_number 121
_symmetry_space_group_name_Hall 'I -4 2'
_cell_length_a 6.8318
_cell_length_b 6.8318
_cell_length_c 14.3674
_cell_angle_alpha 90.00
_cell_angle_beta 90.00
_cell_angle_gamma 90.00
loop_
_atom_site_label
_atom_site_fract_x
_atom_site_fract_y
_atom_site_fract_z
Tb1 0.0000 0.5000 0.0000
Tb2 0.2080 0.2080 0.1889
Sm1 0.0000 0.0000 0.0000
Sc1 0.1520 0.1520 0.4081
# Formation enthalpy at 0 K = 32.48 kJ/mol of atoms


# Tb5Sm4Sc2, relaxed, DFT PBE
data_Tb5Sm4Sc2
_chemical_formula_sum 'Tb10 Sm8 Sc4'
_symmetry_space_group_name_H-M 'I m m m'
_symmetry_Int_Tables_number 71
_symmetry_space_group_name_Hall '-I 2 2'
_cell_length_a 3.4648
_cell_length_b 11.3025
_cell_length_c 18.4312
_cell_angle_alpha 90.00
_cell_angle_beta 90.00
_cell_angle_gamma 90.00
loop_
_atom_site_label
_atom_site_fract_x
_atom_site_fract_y
_atom_site_fract_z
Tb1 0.0000 0.0000 0.0000
Tb2 0.0000 0.2138 0.3208
Sm1 0.0000 0.2348 0.5000
Sm2 0.0000 0.5000 0.0919
Sc1 0.0000 0.5000 0.2842
# Formation enthalpy at 0 K = 25.02 kJ/mol of atoms


# Tb6Sm12Sc, relaxed, DFT PBE
data_Tb6Sm12Sc
_chemical_formula_sum 'Tb18 Sm36 Sc3'
_symmetry_space_group_name_H-M 'R -3'
_symmetry_Int_Tables_number 148
_symmetry_space_group_name_Hall '-R 3'
_cell_length_a 12.0574
_cell_length_b 12.0574
_cell_length_c 15.1127
_cell_angle_alpha 90.00
_cell_angle_beta 90.00
_cell_angle_gamma 120.00
loop_
_atom_site_label
_atom_site_fract_x
_atom_site_fract_y
_atom_site_fract_z
Tb1 0.0177 0.4270 0.1869
Sm1 0.0018 0.8302 0.6889
Sm2 0.0478 0.8517 0.9155
Sc1 0.0000 0.0000 0.5000
# Formation enthalpy at 0 K = 13.72 kJ/mol of atoms


# Tb8Sm2Sc, relaxed, DFT PBE
data_Tb8Sm2Sc
_chemical_formula_sum 'Tb16 Sm4 Sc2'
_symmetry_space_group_name_H-M 'C 1 2/m 1'
_symmetry_Int_Tables_number 12
_cell_length_a 16.4375
_cell_length_b 6.6442
_cell_length_c 6.6443
_cell_angle_alpha 90.00
_cell_angle_beta 101.82
_cell_angle_gamma 90.00
loop_
_symmetry_equiv_pos_as_xyz
'x,y,z'
'-x,-y,-z'
'-x,y,-z'
'x,-y,z'
'x+1/2,y+1/2,z'
'-x+1/2,-y+1/2,-z'
'-x+1/2,y+1/2,-z'
'x+1/2,-y+1/2,z'
loop_
_atom_site_label
_atom_site_fract_x
_atom_site_fract_y
_atom_site_fract_z
Tb1 0.0827 0.2404 0.3906
Tb2 0.0920 0.0000 0.9131
Tb3 0.2446 0.5000 0.3195
Sm1 0.1892 0.5000 0.8041
Sc1 0.0000 0.5000 0.0000
# Formation enthalpy at 0 K = 16.24 kJ/mol of atoms


# Tb9Sm2Sc, relaxed, DFT PBE
data_Tb9Sm2Sc
_chemical_formula_sum 'Tb9 Sm2 Sc1'
_symmetry_space_group_name_H-M 'P 4/m m m'
_symmetry_Int_Tables_number 123
_symmetry_space_group_name_Hall '-P 4 2'
_cell_length_a 5.0234
_cell_length_b 5.0234
_cell_length_c 15.0255
_cell_angle_alpha 90.00
_cell_angle_beta 90.00
_cell_angle_gamma 90.00
loop_
_atom_site_label
_atom_site_fract_x
_atom_site_fract_y
_atom_site_fract_z
Tb1 0.0000 0.0000 0.0000
Tb2 0.0000 0.0000 0.3302
Tb3 0.0000 0.5000 0.1610
Tb4 0.0000 0.5000 0.5000
Sm1 0.5000 0.5000 0.3309
Sc1 0.5000 0.5000 0.0000
# Formation enthalpy at 0 K = 2.72 kJ/mol of atoms


# Tb12SmSc7, relaxed, DFT PBE
data_Tb12SmSc7
_chemical_formula_sum 'Tb36 Sm3 Sc21'
_symmetry_space_group_name_H-M 'R -3 m'
_symmetry_Int_Tables_number 166
_symmetry_space_group_name_Hall '-R 3 2"'
_cell_length_a 16.0237
_cell_length_b 16.0237
_cell_length_c 8.0924
_cell_angle_alpha 90.00
_cell_angle_beta 90.00
_cell_angle_gamma 120.00
loop_
_atom_site_label
_atom_site_fract_x
_atom_site_fract_y
_atom_site_fract_z
Tb1 0.0000 0.2838 0.0000
Tb2 0.1001 0.2001 0.7419
Sm1 0.0000 0.0000 0.5000
Sc1 0.0000 0.0000 0.0000
Sc2 0.1012 0.5506 0.9985
# Formation enthalpy at 0 K = 26.51 kJ/mol of atoms


# Tb4Sm5Sc2, relaxed, DFT PBE
data_Tb4Sm5Sc2
_chemical_formula_sum 'Tb4 Sm5 Sc2'
_symmetry_space_group_name_H-M 'P -1'
_symmetry_Int_Tables_number 2
_cell_length_a 3.6392
_cell_length_b 9.1269
_cell_length_c 11.2075
_cell_angle_alpha 71.68
_cell_angle_beta 80.70
_cell_angle_gamma 89.97
loop_
_symmetry_equiv_pos_as_xyz
'x,y,z'
'-x,-y,-z'
loop_
_atom_site_label
_atom_site_fract_x
_atom_site_fract_y
_atom_site_fract_z
Tb1 0.0216 0.2023 0.4563
Tb2 0.1280 0.7448 0.2432
Sm1 0.2299 0.1526 0.0405
Sm2 0.3329 0.5675 0.8350
Sm3 0.5000 0.5000 0.5000
Sc1 0.4019 0.9745 0.6972
# Formation enthalpy at 0 K = 4.84 kJ/mol of atoms


# Tb2SmSc8, relaxed, DFT PBE
data_Tb2SmSc8
_chemical_formula_sum 'Tb4 Sm2 Sc16'
_symmetry_space_group_name_H-M 'I m m m'
_symmetry_Int_Tables_number 71
_symmetry_space_group_name_Hall '-I 2 2'
_cell_length_a 5.4918
_cell_length_b 6.8296
_cell_length_c 16.1637
_cell_angle_alpha 90.00
_cell_angle_beta 90.00
_cell_angle_gamma 90.00
loop_
_atom_site_label
_atom_site_fract_x
_atom_site_fract_y
_atom_site_fract_z
Tb1 0.0000 0.0000 0.1904
Sm1 0.0000 0.5000 0.0000
Sc1 0.0000 0.2266 0.3705
Sc2 0.0000 0.5000 0.2022
Sc3 0.2434 0.0000 0.0000
# Formation enthalpy at 0 K = 13.52 kJ/mol of atoms